No. 1
TaAl2Pt (PBE-GGA, optimized geometry); ΔE_f = -1.26 eV per formula unit; space-group type = Fm-3m, No. 225; ρ = 11.401 g cm⁻³; energy = -6.66 eV/atom; total magnetic moment = 0.00 Bohr magnetons per cell
1.0
0.000 3.152 3.152
3.152 0.000 3.152
3.152 3.152 0.000
Ta Al Pt
1 2 1
Cartesian
0.000 0.000 0.000
1.576 1.576 1.576
4.728 4.728 4.728
3.152 3.152 3.152

=====

No. 2
Ta3Cu (PBE-GGA, optimized geometry); ΔE_f = 0.71 eV per formula unit; space-group type = P2/m, No. 10; ρ = 14.804 g cm⁻³; energy = -9.74 eV/atom; total magnetic moment = 0.00 Bohr magnetons per cell
1.0
2.743 0.000 0.000
0.000 4.673 0.000
-0.841 0.000 5.307
Ta Cu
3 1
Cartesian
0.000 0.000 0.000
0.083 2.336 3.995
1.820 2.336 1.312
0.951 0.000 2.654

=====

No. 3
LiLa2TmTl4 (PBE-GGA, optimized geometry); ΔE_f = -2.87 eV per formula unit; space-group type = R-3m, No. 166; ρ = 9.296 g cm⁻³; energy = -3.57 eV/atom; total magnetic moment = 0.00 Bohr magnetons per cell
1.0
2.690 1.553 9.057
-2.690 1.553 9.057
0.000 -3.106 9.057
Li La Tm Tl
1 2 1 4
Cartesian
0.000 0.000 0.000
0.000 0.000 6.928
0.000 0.000 20.244
0.000 0.000 13.586
0.000 0.000 3.398
0.000 0.000 10.172
0.000 0.000 16.999
0.000 0.000 23.773

=====

No. 4
ErMgCo2Ge2 (PBE-GGA, optimized geometry); ΔE_f = -2.83 eV per formula unit; space-group type = P-3m1, No. 164; ρ = 7.834 g cm⁻³; energy = -5.41 eV/atom; total magnetic moment = 0.00 Bohr magnetons per cell
1.0
4.120 0.000 0.000
-2.060 3.568 0.000
0.000 0.000 6.555
Er Mg Co Ge
1 1 2 2
Cartesian
0.000 0.000 0.000
0.000 0.000 3.278
0.000 2.379 4.224
2.060 1.189 2.331
0.000 2.379 1.774
2.060 1.189 4.782

=====

No. 5
EuScSnAu (PBE-GGA, optimized geometry); ΔE_f = -2.56 eV per formula unit; space-group type = F-43m, No. 216; ρ = 8.640 g cm⁻³; energy = -6.61 eV/atom; total magnetic moment = 7.23 Bohr magnetons per cell
1.0
0.000 3.666 3.666
3.666 0.000 3.666
3.666 3.666 0.000
Eu Sc Sn Au
1 1 1 1
Cartesian
0.000 0.000 0.000
3.666 3.666 3.666
1.833 1.833 1.833
5.499 5.499 5.499

=====

No. 6
ScAlTl (PBE-GGA, optimized geometry); ΔE_f = 0.12 eV per formula unit; space-group type = F-43m, No. 216; ρ = 6.429 g cm⁻³; energy = -4.11 eV/atom; total magnetic moment = 0.00 Bohr magnetons per cell
1.0
0.000 3.292 3.292
3.292 0.000 3.292
3.292 3.292 0.000
Sc Al Tl
1 1 1
Cartesian
0.000 0.000 0.000
4.938 4.938 4.938
3.292 3.292 3.292

=====

No. 7
SrTl2Re2 (PBE-GGA, optimized geometry); ΔE_f = 3.77 eV per formula unit; space-group type = P4/mbm, No. 127; ρ = 12.742 g cm⁻³; energy = -5.51 eV/atom; total magnetic moment = 0.00 Bohr magnetons per cell
1.0
8.504 0.000 0.000
0.000 8.504 0.000
0.000 0.000 3.131
Sr Tl Re
2 4 4
Cartesian
0.000 0.000 0.000
4.252 4.252 0.000
1.591 2.661 1.566
2.661 6.913 1.566
5.843 1.591 1.566
6.913 5.843 1.566
0.822 5.074 0.000
3.430 0.822 0.000
5.074 7.682 0.000
7.682 3.430 0.000

=====

No. 8
MoRu (PBE-GGA, optimized geometry); ΔE_f = 0.18 eV per formula unit; space-group type = I4_1/amd, No. 141; ρ = 10.968 g cm⁻³; energy = -9.96 eV/atom; total magnetic moment = 0.00 Bohr magnetons per cell
1.0
-1.938 1.938 3.972
1.938 -1.938 3.972
1.938 1.938 -3.972
Mo Ru
2 2
Cartesian
1.938 0.969 0.993
0.000 0.969 2.979
1.938 -0.969 2.979
0.000 2.907 0.993